Record 1
Compound: ZnCoReNi
Source: the Open Quantum Materials Database
Functional: PBE-GGA
Structure: optimized geometry

Results
The calculation puts the formation enthalpy at 0 K at 0.17 eV/atom. The total energy comes out at -6.422 eV per atom. As for the space-group type: F-43m, No. 216. The distance to the lowest polymorph of the same formula is 0.000 eV/atom.

Lattice parameters (Å, degrees): 4.1143 4.1143 4.1143 60.00 60.00 60.00
With the nearest neighbours (Å) after each atom.
Fractional coordinates of all 4 atoms:
1 Zn 0.0000 0.0000 0.0000  4 Co 2.52, 4 Ni 2.52
2 Ni 0.2500 0.2500 0.2500  4 Re 2.52, 4 Zn 2.52
3 Co 0.7500 0.7500 0.7500  4 Zn 2.52, 4 Re 2.52
4 Re 0.5000 0.5000 0.5000  4 Ni 2.52, 4 Co 2.52


Record 2
Compound: CoNiSnS3
Source: the Open Quantum Materials Database
Functional: PBE-GGA
Structure: optimized geometry

Results
The total energy comes out at -5.153 eV per atom. As for the space-group type: Cmcm, No. 63. The distance to the lowest polymorph of the same formula is 0.000 eV/atom.

Lattice parameters (Å, degrees): 3.4027 6.3363 9.4911 90.00 90.00 74.42
With the nearest neighbours (Å) after each atom.
Fractional coordinates of all 12 atoms:
1 S 0.9928 0.0145 0.2500  2 Ni 2.35, 2 Co 2.37
2 S 0.6207 0.7586 0.4854  1 Ni 2.23, 2 Co 2.25
3 S 0.3793 0.2414 0.9854  1 Ni 2.23, 2 Co 2.25
4 S 0.0072 0.9855 0.7500  2 Ni 2.35, 2 Co 2.37
5 S 0.6207 0.7586 0.0146  1 Ni 2.23, 2 Co 2.25
6 S 0.3793 0.2414 0.5146  1 Ni 2.23, 2 Co 2.25
7 Ni 0.6256 0.7488 0.2500  4 S 2.23-2.35
8 Ni 0.3744 0.2512 0.7500  4 S 2.23-2.35
9 Sn 0.2894 0.4211 0.2500  2 Ni 2.63, 2 S 2.74
10 Sn 0.7106 0.5789 0.7500  2 Ni 2.63, 2 S 2.74
11 Co 0.0000 0.0000 0.5000  6 S 2.25-2.37
12 Co 0.0000 0.0000 0.0000  6 S 2.25-2.37


Record 3
Compound: CoNiSnS3
Source: the Open Quantum Materials Database
Functional: PBE-GGA
Structure: optimized geometry

Results
The total energy comes out at -5.043 eV per atom. As for the space-group type: Cmcm, No. 63. The distance to the lowest polymorph of the same formula is 0.110 eV/atom.

Lattice parameters (Å, degrees): 6.8114 6.8114 8.5709 90.00 90.00 149.72
With the nearest neighbours (Å) after each atom.
Fractional coordinates of all 12 atoms:
1 Sn 0.7579 0.2421 0.7500  8 S 2.83-3.13
2 Sn 0.2421 0.7579 0.2500  8 S 2.83-3.13
3 S 0.9322 0.0678 0.2500  2 Co 2.15, 2 Ni 2.32
4 S 0.3695 0.6305 0.5588  1 Co 2.16
5 S 0.0678 0.9322 0.7500  2 Co 2.15, 2 Ni 2.32
6 S 0.6305 0.3695 0.4412  1 Co 2.16
7 S 0.6305 0.3695 0.0588  1 Co 2.16
8 S 0.3695 0.6305 0.9412  1 Co 2.16
9 Co 0.5238 0.4762 0.2500  4 S 2.15-2.16
10 Co 0.4762 0.5238 0.7500  4 S 2.15-2.16
11 Ni 0.0000 0.0000 0.0000  6 S 2.32-2.52
12 Ni 0.0000 0.0000 0.5000  6 S 2.32-2.52


Record 4
Compound: SrCoNiS3
Source: the Open Quantum Materials Database
Functional: PBE-GGA
Structure: optimized geometry

Results
The total energy comes out at -5.203 eV per atom. As for the space-group type: Cmcm, No. 63. The distance to the lowest polymorph of the same formula is 0.000 eV/atom.

Lattice parameters (Å, degrees): 6.5373 6.5373 9.1050 90.00 90.00 32.30
With the nearest neighbours (Å) after each atom.
Fractional coordinates of all 12 atoms:
1 S 0.3794 0.3794 0.4587  1 Ni 2.21, 2 Co 2.40
2 S 0.3794 0.3794 0.0413  1 Ni 2.21, 2 Co 2.40
3 S 0.9349 0.9349 0.7500  2 Ni 2.18, 2 Co 2.42
4 S 0.0651 0.0651 0.2500  2 Ni 2.18, 2 Co 2.42
5 S 0.6206 0.6206 0.5413  1 Ni 2.21, 2 Co 2.40
6 S 0.6206 0.6206 0.9587  1 Ni 2.21, 2 Co 2.40
7 Sr 0.2469 0.2469 0.7500  8 S 2.98-3.13, 2 Ni 3.27
8 Sr 0.7531 0.7531 0.2500  8 S 2.98-3.13, 2 Ni 3.27
9 Co 0.0000 0.0000 0.5000  6 S 2.40-2.42
10 Co 0.0000 0.0000 0.0000  6 S 2.40-2.42
11 Ni 0.4692 0.4692 0.2500  4 S 2.18-2.21
12 Ni 0.5308 0.5308 0.7500  4 S 2.18-2.21